Record 1
VASP calculation (PBE) on a geometry-optimized TlCrW2Cl structure.

Values from the calculation:
Volume (Å³/f.u.): 153
Energy (eV per atom): -5.2477
Raw formation energy (kcal/mol of atoms): 62.28

a = 5.316 Å, b = 5.316 Å, c = 5.398 Å
α = 90.00°, β = 90.00°, γ = 90.00°
Space group P4/mmm (No. 123)
Inequivalent atoms, fractional coordinates:
Tl 0.000 0.000 0.000 (multiplicity 1)
Cr 0.500 0.500 0.500 (multiplicity 1)
W 0.000 0.500 0.000 (multiplicity 2)
Cl 0.000 0.000 0.500 (multiplicity 1)

Record 2
VASP calculation (PBE) on a geometry-optimized Be3VPt structure.

Values from the calculation:
Volume (Å³/f.u.): 65
Energy (eV per atom): -3.9573
E_form (meV per atom): 1310

a = 4.014 Å, b = 4.014 Å, c = 4.014 Å
α = 90.00°, β = 90.00°, γ = 90.00°
Space group Pm-3m (No. 221)
Inequivalent atoms, fractional coordinates:
Be 0.000 0.000 0.500 (multiplicity 3)
V 0.000 0.000 0.000 (multiplicity 1)
Pt 0.500 0.500 0.500 (multiplicity 1)

Record 3
VASP calculation (PBE) on a geometry-optimized BaPaSbS6 structure.

Values from the calculation:
Volume (Å³/f.u.): 273
Energy (eV per atom): -5.5251
Raw formation energy (kcal/mol of atoms): -24.14

a = 6.7396 Å, b = 6.7396 Å, c = 13.8628 Å
α = 90.00°, β = 90.00°, γ = 120.00°
Space group P-31c (No. 163)
Inequivalent atoms, fractional coordinates:
Ba 0.0000 0.0000 0.0000 (multiplicity 2)
Pa 0.3333 0.6667 0.2500 (multiplicity 2)
Sb 0.3333 0.6667 0.7500 (multiplicity 2)
S 0.0126 0.3836 0.6405 (multiplicity 12)